[1]
A plane-wave DFT calculation with PBE was carried out for an optimized crystal structure of CuHIO4.

Results
Magnetic moment, μB/cell: 4.07
Density, g cm⁻³: 4.52
Electronic total energy, eV per atom: -4.65
DOS at the Fermi energy, states/eV/f.u.: 0.31

Lattice parameters (Å, degrees): 11.257 6.677 5.000 90.00 90.00 90.00
Fractional coordinates of all 28 atoms:
Cu 0.000 0.000 0.000
Cu 0.000 0.500 0.000
Cu 0.500 0.000 0.500
Cu 0.500 0.500 0.500
H 0.019 0.250 0.372
H 0.481 0.750 0.872
H 0.519 0.250 0.128
H 0.981 0.750 0.628
I 0.238 0.750 0.948
I 0.262 0.250 0.448
I 0.738 0.750 0.552
I 0.762 0.250 0.052
O 0.024 0.750 0.805
O 0.120 0.250 0.624
O 0.163 0.542 0.138
O 0.163 0.958 0.138
O 0.337 0.042 0.638
O 0.337 0.458 0.638
O 0.380 0.750 0.124
O 0.476 0.250 0.305
O 0.524 0.750 0.695
O 0.620 0.250 0.876
O 0.663 0.542 0.362
O 0.663 0.958 0.362
O 0.837 0.042 0.862
O 0.837 0.458 0.862
O 0.880 0.750 0.376
O 0.976 0.250 0.195

=====

[2]
A plane-wave DFT calculation with PBE was carried out for an optimized crystal structure of CuHIO2.

Results
E above lowest polymorph, eV per atom: 0.495
Magnetic moment, μB/cell: 0.00
Density, g cm⁻³: 6.32
DOS at the Fermi energy, states/eV/f.u.: 2.76

Lattice parameters (Å, degrees): 4.150 4.150 3.410 90.00 90.00 90.00
Fractional coordinates of all 5 atoms:
Cu 0.000 0.000 0.000
H 0.500 0.500 0.500
I 0.500 0.500 0.000
O 0.000 0.500 0.500
O 0.500 0.000 0.500

=====

> What is the formula in the first record?

CuHIO4